Record 1
First-principles (PBE) data for an optimized crystal structure of AlV2Zn, as listed in Alexandria.

Results
Symmetry: Imm2
Energy: -23.492 eV/cell
Formation enthalpy at 0 K: -0.06 eV/atom

Cell lengths 5.0172, 5.0172, 5.0172 Å; angles 144.81, 127.73, 64.58 degrees
Fractional positions:
1 Al 0.0000 0.0000 0.0000
2 V 0.2680 0.7680 0.5000
3 V 0.4902 0.4902 0.0000
4 Zn 0.7504 0.2504 0.5000

---

Record 2
First-principles (PBE) data for an optimized crystal structure of Al7V2Zn2, as listed in Alexandria.

Results
Symmetry: C2/m
Energy: -48.609 eV/cell
Formation enthalpy at 0 K: -0.15 eV/atom

Cell lengths 5.3173, 5.3173, 6.5932 Å; angles 102.32, 102.32, 102.47 degrees
Fractional positions:
1 Al 0.0000 0.0000 0.0000
2 Al 0.1033 0.4861 0.8384
3 Al 0.1918 0.1918 0.4631
4 Al 0.4861 0.1033 0.8384
5 Al 0.5139 0.8967 0.1616
6 Al 0.8082 0.8082 0.5369
7 Al 0.8967 0.5139 0.1616
8 V 0.4030 0.4030 0.1946
9 V 0.5970 0.5970 0.8054
10 Zn 0.2808 0.7192 0.5000
11 Zn 0.7192 0.2808 0.5000

---

Record 3
First-principles (PBE) data for an optimized crystal structure of Al4VZn, as listed in Alexandria.

Results
Symmetry: Cmc2_1
Distance to the lowest polymorph of the same formula: 0 meV/atom
Energy: -51.311 eV/cell
Formation enthalpy at 0 K: -0.05 eV/atom

Cell lengths 6.2560, 6.2560, 8.1700 Å; angles 90.00, 90.00, 144.83 degrees
Fractional positions:
1 Al 0.9999 0.0001 0.9997
2 Al 0.0001 0.9999 0.4997
3 Al 0.1800 0.8200 0.7480
4 Al 0.3271 0.6729 0.0000
5 Al 0.4983 0.5017 0.7474
6 Al 0.5017 0.4983 0.2474
7 Al 0.6729 0.3271 0.5000
8 Al 0.8200 0.1800 0.2480
9 V 0.1602 0.8398 0.2519
10 V 0.8398 0.1602 0.7519
11 Zn 0.3333 0.6667 0.4966
12 Zn 0.6667 0.3333 0.9966

---

Record 4
First-principles (PBE) data for an optimized crystal structure of Al4VZn, as listed in Alexandria.

Results
Symmetry: P4/mmm
Distance to the lowest polymorph of the same formula: 199 meV/atom
Energy: -24.460 eV/cell
Formation enthalpy at 0 K: 0.15 eV/atom

Cell lengths 3.9443, 3.9443, 6.9739 Å; angles 90.00, 90.00, 90.00 degrees
Fractional positions:
1 Al 0.0000 0.5000 0.2485
2 Al 0.0000 0.5000 0.7515
3 Al 0.5000 0.0000 0.2485
4 Al 0.5000 0.0000 0.7515
5 V 0.0000 0.0000 0.0000
6 Zn 0.5000 0.5000 0.5000

---

- Which value of energy does entry 1 give?
  -23.492 eV/cell